Compound: Tb3YZn8
Source: the Alexandria database
Functional: PBE
Structure: relaxed

abc: 5.5604 5.5604 8.6620
angles: 90.00 90.00 120.00
Space group P3m1 (No. 156)
One atom of each set of equivalent atoms:
Tb 0.0000 0.0000 0.0000 [1 per cell]
Tb 0.0000 0.0000 0.3847 [1 per cell]
Tb 0.3333 0.6667 0.8881 [1 per cell]
Y 0.3333 0.6667 0.5028 [1 per cell]
Zn 0.0027 0.5013 0.1944 [3 per cell]
Zn 0.3307 0.1653 0.6933 [3 per cell]
Zn 0.6667 0.3333 0.4436 [1 per cell]
Zn 0.6667 0.3333 0.9439 [1 per cell]

Formation energy   -7.53 kcal/mol of atoms
Calculated volume   19.33 Å³/atom
Theoretical density   7.797 g/cm3